[1]
## Ti12Sn6C (GGA-PBE)

Data for a geometry-optimized Ti12Sn6C structure.

Cell: 7.166 7.166 7.166 Å, 94.49 94.49 94.49°
Fractional positions:
Ti  0.207  0.405  0.505
Ti  0.286  0.984  0.082
Ti  0.505  0.207  0.405
Sn  0.368  0.143  0.749
Sn  0.143  0.749  0.368
Ti  0.495  0.793  0.595
Ti  0.714  0.016  0.918
Ti  0.595  0.495  0.793
Ti  0.082  0.286  0.984
Sn  0.251  0.632  0.857
Ti  0.918  0.714  0.016
Ti  0.984  0.082  0.286
Sn  0.632  0.857  0.251
Ti  0.793  0.595  0.495
Ti  0.016  0.918  0.714
Sn  0.857  0.251  0.632
Ti  0.405  0.505  0.207
Sn  0.749  0.368  0.143
C  0.000  0.000  0.000

## Properties
ΔH_f (0 K)   -0.132 eV/atom
V   19.2 A^3/atom
E   -6.867 eV per atom
Magnetic moment   0.00 μB per cell
Mass density   5.9 g cm⁻³

---

[2]
## ReSnBi2 (GGA-PBE)

Data for a geometry-optimized ReSnBi2 structure.

Cell: 6.598 6.598 8.083 Å, 65.91 65.91 90.00°
Fractional positions:
Re  0.750  0.250  0.500
Sn  0.500  0.500  0.000
Bi  0.375  0.321  0.750
Sn  0.250  0.750  0.500
Bi  0.071  0.625  0.250
Re  0.000  0.000  0.000
Bi  0.679  0.125  0.250
Bi  0.875  0.929  0.750

## Properties
ΔH_f (0 K)   0.980 eV/atom
V   35.9 A^3/atom
E   -5.073 eV per atom
Magnetic moment   0.00 μB per cell
Mass density   8.4 g cm⁻³

---

[3]
## CeNdSe2 (GGA-PBE)

Data for a geometry-optimized CeNdSe2 structure.

Cell: 4.211 4.211 7.327 Å, 73.30 73.30 60.00°
Site moments in Bohr magnetons follow the coordinates.
Fractional positions:
Se  0.749  0.749  0.752  -0.01
Nd  0.500  0.500  0.500  0.00
Se  0.251  0.251  0.248  -0.01
Ce  0.000  0.000  0.000  0.82

## Properties
V   26.5 A^3/atom
E   -6.254 eV per atom
Magnetic moment   0.97 μB per cell
Uncorrected formation energy   -1.836 eV/atom
Mass density   6.9 g cm⁻³

---

[4]
## TaPt2 (GGA-PBE)

Data for a geometry-optimized TaPt2 structure.

Cell: 4.977 4.546 8.599 Å, 90.00 90.00 90.00°
Fractional positions:
Ta  0.671  0.250  0.649
Pt  0.833  0.750  0.485
Pt  0.667  0.250  0.985
Pt  0.655  0.250  0.327
Ta  0.829  0.750  0.149
Ta  0.329  0.750  0.351
Pt  0.333  0.750  0.015
Pt  0.167  0.250  0.515
Pt  0.155  0.250  0.173
Pt  0.345  0.750  0.673
Pt  0.845  0.750  0.827
Ta  0.171  0.250  0.851

## Properties
ΔH_f (0 K)   -0.735 eV/atom
V   16.2 A^3/atom
E   -8.713 eV per atom
Magnetic moment   0.00 μB per cell
Mass density   19.5 g cm⁻³

---

[5]
## RbTl2Pt (GGA-PBE)

Data for a geometry-optimized RbTl2Pt structure.

Cell: 3.589 3.589 8.705 Å, 90.00 90.00 90.00°
Fractional positions:
Tl  0.000  0.000  0.815
Rb  0.500  0.500  0.500
Pt  0.500  0.500  0.000
Tl  0.000  0.000  0.185

## Properties
ΔH_f (0 K)   -0.067 eV/atom
V   28.0 A^3/atom
E   -3.002 eV per atom
Magnetic moment   0.00 μB per cell
Mass density   10.2 g cm⁻³

---

[6]
## Y2Zn2Sb (GGA-PBE)

Data for a geometry-optimized Y2Zn2Sb structure.

Cell: 7.229 7.229 4.420 Å, 90.00 90.00 90.00°
Fractional positions:
Y  0.329  0.171  0.500
Y  0.829  0.329  0.500
Y  0.171  0.671  0.500
Y  0.671  0.829  0.500
Zn  0.122  0.378  0.000
Zn  0.378  0.878  0.000
Sb  0.500  0.500  0.000
Sb  0.000  0.000  0.000
Zn  0.878  0.622  0.000
Zn  0.622  0.122  0.000

## Properties
V   23.1 A^3/atom
E   -4.456 eV per atom
Magnetic moment   0.00 μB per cell
Uncorrected formation energy   -0.537 eV/atom
Mass density   6.2 g cm⁻³